1.
DFT (PBE) results for Bi3BW after structural relaxation.

Output
Energy above the lowest structure with this stoichiometry: 0.0 meV/atom
Total magnetization: 2.92 μB/cell
ΔH_f (0 K): 1.531 eV per atom

Lattice parameters (Å, degrees): 4.9589 4.9589 4.9589 90.00 90.00 90.00
Fractional coordinates of all 5 atoms:
Bi 0.0000 0.0000 0.5000
Bi 0.0000 0.5000 0.0000
Bi 0.5000 0.0000 0.0000
B 0.0000 0.0000 0.0000
W 0.5000 0.5000 0.5000

2.
DFT (PBE) results for BiB3W after structural relaxation.

Output
Energy above the lowest structure with this stoichiometry: 0.0 meV/atom
Total magnetization: 0.00 μB/cell
ΔH_f (0 K): 1.253 eV per atom

Lattice parameters (Å, degrees): 4.2879 4.2879 4.2879 90.00 90.00 90.00
Fractional coordinates of all 5 atoms:
Bi 0.0000 0.0000 0.0000
B 0.0000 0.5000 0.5000
B 0.5000 0.0000 0.5000
B 0.5000 0.5000 0.0000
W 0.5000 0.5000 0.5000